## RbSnB (GGA-PBE)

Data for a geometry-optimized RbSnB structure.

The structure in POSCAR format:
```
RbSnB
1.0
7.8643 0.0000 0.0000
0.0000 4.0173 0.0000
0.0000 0.0000 11.2423
Rb Sn B
4 4 4
Direct
0.0070 0.2500 0.2045
0.4930 0.7500 0.7045
0.5070 0.2500 0.2955
0.9930 0.7500 0.7955
0.1619 0.7500 0.4683
0.3381 0.2500 0.9683
0.6619 0.7500 0.0317
0.8381 0.2500 0.5317
0.1514 0.2500 0.5663
0.3486 0.7500 0.0663
0.6514 0.2500 0.9337
0.8486 0.7500 0.4337
```

## Properties
As for the formation energy: 0.55 eV/atom. As for the density of states at the Fermi level: 5.2 states/eV/cell. The calculation puts the density at 4.02 g/cm3. The value obtained for the magnetization is 0.00 μB/cell.